Record 1
Here is NpUPSe after structural relaxation from Alexandria. Energies are from GGA-PBE.

Summary:
The raw formation energy is -1000 meV/atom. The total energy comes out at -37.12 eV per cell. Its calculated volume is 23.0 Å³ per atom.

a = 3.985 Å, b = 3.985 Å, c = 7.062 Å
α = 73.61°, β = 73.61°, γ = 60.00°
Fractional positions:
U 0.505 0.505 0.484
Se 0.750 0.750 0.751
Np 0.995 0.995 0.016
P 0.250 0.250 0.249

***

Record 2
Here is NpSiP2 after structural relaxation from Alexandria. Energies are from GGA-PBE.

Summary:
The raw formation energy is 258 meV/atom. The value obtained for the excess energy over the best structure of this formula in the dataset is 624 meV per atom. The total energy comes out at -28.15 eV per cell. Its calculated volume is 18.4 Å³ per atom.

a = 3.133 Å, b = 3.133 Å, c = 8.829 Å
α = 79.78°, β = 79.78°, γ = 60.00°
Fractional positions:
Si 0.500 0.500 0.500
P 0.109 0.109 0.674
Np 0.000 0.000 0.000
P 0.891 0.891 0.326

***

Record 3
Here is NpSiP after structural relaxation from Alexandria. Energies are from GGA-PBE.

Summary:
The raw formation energy is -93 meV/atom. The value obtained for the excess energy over the best structure of this formula in the dataset is 287 meV per atom. The total energy comes out at -48.10 eV per cell. Its calculated volume is 18.2 Å³ per atom.

a = 4.182 Å, b = 4.181 Å, c = 6.911 Å
α = 107.61°, β = 107.61°, γ = 90.00°
Fractional positions:
Si 0.359 0.611 0.567
Si 0.682 0.935 0.214
Np 0.020 0.773 0.890
P 0.864 0.117 0.578
Np 0.520 0.273 0.890
P 0.177 0.429 0.203

***

Record 4
Here is NpSi2P after structural relaxation from Alexandria. Energies are from GGA-PBE.

Summary:
The raw formation energy is -315 meV/atom. The total energy comes out at -30.46 eV per cell. Its calculated volume is 15.8 Å³ per atom.

a = 4.207 Å, b = 3.879 Å, c = 3.879 Å
α = 90.00°, β = 90.00°, γ = 90.00°
Fractional positions:
Si 0.000 0.500 0.000
P 0.500 0.500 0.500
Si 0.000 0.000 0.500
Np 0.500 0.000 0.000

***

- The highest calculated volume belongs to which entry?
  NpUPSe

***

- Which of these has the highest calculated volume?
  NpUPSe

***

- Which value of raw formation energy does entry 3 give?
  -93 meV/atom

***

- Which of these has the highest raw formation energy?
  NpSiP2